# 1
Compound: TbY5Al6
Source: the Alexandria database
Functional: PBE
Structure: relaxed

Cell lengths 5.095, 7.233, 8.054 Å; angles 90.00, 108.28, 90.00 degrees
Sites, in units of the cell vectors:
Tb1 0.000 0.000 0.000
Y1 0.000 0.500 0.000
Y2 0.333 0.000 0.666
Y3 0.334 0.500 0.668
Y4 0.666 0.500 0.332
Y5 0.667 0.000 0.334
Al1 0.167 0.251 0.334
Al2 0.167 0.749 0.334
Al3 0.500 0.250 0.000
Al4 0.500 0.750 0.000
Al5 0.833 0.251 0.666
Al6 0.833 0.749 0.666

Computed properties:
- crystal system = monoclinic
- theoretical density (g/cm3) = 4.51
- magnetization (μB per formula unit) = 0.00
- E_form (meV per atom) = -415
- space-group type = P2/m, No. 10

# 2
Compound: Tb12Y3Al
Source: the Alexandria database
Functional: PBE
Structure: relaxed

Cell lengths 4.954, 4.954, 20.135 Å; angles 90.00, 90.00, 90.00 degrees
Sites, in units of the cell vectors:
Tb1 0.000 0.000 0.000
Tb2 0.000 0.000 0.243
Tb3 0.000 0.000 0.500
Tb4 0.000 0.000 0.757
Tb5 0.000 0.500 0.117
Tb6 0.000 0.500 0.372
Tb7 0.000 0.500 0.628
Tb8 0.000 0.500 0.883
Tb9 0.500 0.000 0.117
Tb10 0.500 0.000 0.372
Tb11 0.500 0.000 0.628
Tb12 0.500 0.000 0.883
Y1 0.500 0.500 0.246
Y2 0.500 0.500 0.500
Y3 0.500 0.500 0.754
Al1 0.500 0.500 0.000

Computed properties:
- crystal system = tetragonal
- theoretical density (g/cm3) = 7.39
- magnetization (μB per formula unit) = 0.00
- E_form (meV per atom) = -18
- space-group type = P4/mmm, No. 123

# 3
Compound: Tb4YAl4
Source: the Alexandria database
Functional: PBE
Structure: relaxed

Cell lengths 8.840, 8.840, 5.825 Å; angles 90.00, 90.00, 90.00 degrees
Sites, in units of the cell vectors:
Tb1 0.084 0.825 0.133
Tb2 0.175 0.584 0.633
Tb3 0.325 0.916 0.633
Tb4 0.416 0.675 0.133
Tb5 0.584 0.325 0.867
Tb6 0.675 0.084 0.367
Tb7 0.825 0.416 0.367
Tb8 0.916 0.175 0.867
Y1 0.250 0.250 0.750
Y2 0.750 0.750 0.250
Al1 0.056 0.155 0.349
Al2 0.155 0.444 0.151
Al3 0.345 0.056 0.151
Al4 0.444 0.345 0.349
Al5 0.556 0.655 0.651
Al6 0.655 0.944 0.849
Al7 0.845 0.556 0.849
Al8 0.944 0.845 0.651

Computed properties:
- crystal system = tetragonal
- theoretical density (g/cm3) = 6.07
- magnetization (μB per formula unit) = 0.00
- E_form (meV per atom) = -156
- space-group type = P4_2/n, No. 86

# 4
Compound: Tb7Y12Al
Source: the Alexandria database
Functional: PBE
Structure: relaxed

Cell lengths 8.779, 8.779, 8.779 Å; angles 101.39, 101.39, 101.39 degrees
Sites, in units of the cell vectors:
Tb1 0.000 0.000 0.000
Tb2 0.182 0.594 0.594
Tb3 0.406 0.406 0.818
Tb4 0.406 0.818 0.406
Tb5 0.594 0.182 0.594
Tb6 0.594 0.594 0.182
Tb7 0.818 0.406 0.406
Y1 0.000 0.260 0.740
Y2 0.000 0.740 0.260
Y3 0.161 0.420 0.162
Y4 0.162 0.161 0.420
Y5 0.260 0.000 0.740
Y6 0.260 0.740 0.000
Y7 0.420 0.162 0.161
Y8 0.580 0.838 0.839
Y9 0.740 0.000 0.260
Y10 0.740 0.260 0.000
Y11 0.838 0.839 0.580
Y12 0.839 0.580 0.838
Al1 0.500 0.500 0.500

Computed properties:
- crystal system = trigonal
- theoretical density (g/cm3) = 5.81
- magnetization (μB per formula unit) = 0.00
- E_form (meV per atom) = 48
- space-group type = R-3, No. 148

# 5
Compound: Tb3Y4Al4
Source: the Alexandria database
Functional: PBE
Structure: relaxed

Cell lengths 9.527, 9.527, 9.527 Å; angles 148.69, 138.28, 53.08 degrees
Sites, in units of the cell vectors:
Tb1 0.000 0.000 0.000
Tb2 0.401 0.901 0.500
Tb3 0.599 0.099 0.500
Y1 0.056 0.321 0.736
Y2 0.415 0.679 0.736
Y3 0.585 0.321 0.264
Y4 0.944 0.679 0.264
Al1 0.174 0.174 0.000
Al2 0.298 0.500 0.798
Al3 0.702 0.500 0.202
Al4 0.826 0.826 0.000

Computed properties:
- crystal system = orthorhombic
- theoretical density (g/cm3) = 5.25
- magnetization (μB per formula unit) = 0.00
- E_form (meV per atom) = -194
- space-group type = Immm, No. 71

# 6
Compound: Tb2Y8Al
Source: the Alexandria database
Functional: PBE
Structure: relaxed

Cell lengths 10.010, 10.010, 6.453 Å; angles 93.90, 93.90, 31.89 degrees
Sites, in units of the cell vectors:
Tb1 0.242 0.242 0.335
Tb2 0.758 0.758 0.665
Y1 0.043 0.043 0.253
Y2 0.155 0.155 0.811
Y3 0.342 0.342 0.876
Y4 0.422 0.422 0.395
Y5 0.578 0.578 0.605
Y6 0.658 0.658 0.124
Y7 0.845 0.845 0.189
Y8 0.957 0.957 0.747
Al1 0.500 0.500 0.000

Computed properties:
- crystal system = monoclinic
- theoretical density (g/cm3) = 5.15
- magnetization (μB per formula unit) = 0.00
- E_form (meV per atom) = -46
- space-group type = C2/m, No. 12

# 7
Compound: Tb3YAl2
Source: the Alexandria database
Functional: PBE
Structure: relaxed

Cell lengths 5.121, 9.503, 6.588 Å; angles 90.00, 90.00, 90.00 degrees
Sites, in units of the cell vectors:
Tb1 0.000 0.042 0.000
Tb2 0.000 0.324 0.340
Tb3 0.000 0.676 0.840
Tb4 0.000 0.958 0.500
Tb5 0.500 0.176 0.714
Tb6 0.500 0.824 0.214
Y1 0.500 0.458 0.053
Y2 0.500 0.542 0.553
Al1 0.000 0.353 0.819
Al2 0.000 0.647 0.319
Al3 0.500 0.148 0.235
Al4 0.500 0.852 0.735

Computed properties:
- crystal system = orthorhombic
- offset from the most stable computed form (eV/atom) = 0.0000
- theoretical density (g/cm3) = 6.42
- magnetization (μB per formula unit) = 0.00
- E_form (meV per atom) = -294
- space-group type = Pmc2_1, No. 26

# 8
Compound: TbY8Al2
Source: the Alexandria database
Functional: PBE
Structure: relaxed

Cell lengths 8.510, 8.510, 5.626 Å; angles 101.23, 101.23, 117.34 degrees
Sites, in units of the cell vectors:
Tb1 0.000 0.000 0.000
Y1 0.086 0.325 0.607
Y2 0.227 0.773 0.000
Y3 0.325 0.086 0.607
Y4 0.403 0.403 0.204
Y5 0.597 0.597 0.796
Y6 0.675 0.914 0.393
Y7 0.773 0.227 0.000
Y8 0.914 0.675 0.393
Al1 0.308 0.692 0.500
Al2 0.692 0.308 0.500

Computed properties:
- crystal system = monoclinic
- offset from the most stable computed form (eV/atom) = 0.1106
- theoretical density (g/cm3) = 4.57
- magnetization (μB per formula unit) = 0.00
- E_form (meV per atom) = -9
- space-group type = C2/m, No. 12